Below is a relaxed structure of Rb3Tl, with properties calculated at the PBE level.

a = 5.070 Å, b = 13.986 Å, c = 7.039 Å
α = 90.00°, β = 90.00°, γ = 90.00°
Space group Imm2 (No. 44)
Inequivalent atoms, fractional coordinates:
Rb (0.000, 0.000, 0.000) [2 per cell]
Rb (0.000, 0.209, 0.505) [4 per cell]
Tl (0.000, 0.500, 0.992) [2 per cell]

Results
V ... 62.39 Å³/atom
ΔH_f (0 K) ... 44 meV per atom